(1)
Compound: NdPu4Se6
Source: Alexandria via LeMat-Bulk
Functional: GGA-PBE
Structure: relaxed

```
NdPu4Se6
1.0
2.051 -6.848 0.000
2.051 6.848 0.000
0.000 0.000 21.068
Nd Pu Se
2 8 12
direct
0.154 0.846 0.750
0.846 0.154 0.250
0.092 0.908 0.129
0.092 0.908 0.371
0.362 0.638 0.040
0.362 0.638 0.460
0.638 0.362 0.540
0.638 0.362 0.960
0.908 0.092 0.629
0.908 0.092 0.871
0.000 0.000 0.000
0.000 0.000 0.500
0.190 0.810 0.250
0.270 0.730 0.588
0.270 0.730 0.912
0.452 0.548 0.167
0.452 0.548 0.333
0.548 0.452 0.667
0.548 0.452 0.833
0.730 0.270 0.088
0.730 0.270 0.412
0.810 0.190 0.750
```

Calculated values
**Formation energy from raw total energies**: -1.541 eV/atom

=====

(2)
Compound: Nd4PuSe6
Source: Alexandria via LeMat-Bulk
Functional: GGA-PBE
Structure: relaxed

```
Nd4PuSe6
1.0
5.957 3.439 4.757
-5.957 3.439 4.757
0.000 -6.878 4.757
Nd Pu Se
8 2 12
direct
0.138 0.750 0.362
0.250 0.250 0.250
0.250 0.638 0.862
0.362 0.138 0.750
0.638 0.862 0.250
0.750 0.362 0.138
0.750 0.750 0.750
0.862 0.250 0.638
0.000 0.000 0.000
0.500 0.500 0.500
0.061 0.912 0.678
0.088 0.322 0.939
0.178 0.412 0.561
0.322 0.939 0.088
0.412 0.561 0.178
0.439 0.822 0.588
0.561 0.178 0.412
0.588 0.439 0.822
0.678 0.061 0.912
0.822 0.588 0.439
0.912 0.678 0.061
0.939 0.088 0.322
```

Calculated values
**Formation energy from raw total energies**: -1.648 eV/atom

=====

(3)
Compound: Nd3Pu5Se8
Source: Alexandria via LeMat-Bulk
Functional: GGA-PBE
Structure: relaxed

```
Nd3Pu5Se8
1.0
4.184 2.416 6.794
-4.184 2.416 6.794
0.000 -4.832 6.794
Nd Pu Se
3 5 8
direct
0.000 0.500 0.500
0.500 0.000 0.500
0.500 0.500 0.000
0.000 0.000 0.000
0.000 0.000 0.500
0.000 0.500 0.000
0.500 0.000 0.000
0.500 0.500 0.500
0.244 0.750 0.750
0.247 0.247 0.247
0.250 0.250 0.756
0.250 0.756 0.250
0.750 0.244 0.750
0.750 0.750 0.244
0.753 0.753 0.753
0.756 0.250 0.250
```

Calculated values
**Formation energy from raw total energies**: -1.653 eV/atom

=====

What is the formation energy from raw total energies in the third record? -1.653 eV/atom

=====

Which formula does entry 1 have? NdPu4Se6

=====

formation energy from raw total energies of number 3 (Nd3Pu5Se8)? -1.653 eV/atom